Record 1
! CsYbMgS3 (PBE, optimized geometry); values from VASP
&SYSTEM
  ibrav = 0, nat = 12, ntyp = 4
/
ATOMIC_SPECIES
S 32.06 S.upf
Mg 24.30 Mg.upf
Yb 173.04 Yb.upf
Cs 132.91 Cs.upf
CELL_PARAMETERS angstrom
-1.3769 2.3085 -3.6860
-6.3039 -1.6057 4.1800
1.1842 9.2017 5.3206
ATOMIC_POSITIONS angstrom
S 0.0139 6.8457 4.2812
S -1.5582 5.1533 0.9865
S -2.0184 1.5772 -1.0813
S -4.9385 4.7513 4.8281
Mg -5.9707 6.4597 6.2807
Yb 0.0000 0.0000 0.0000
S -4.4782 8.3274 6.8959
Cs -3.1709 2.0757 2.4905
S -6.5105 3.0589 1.5334
Cs -3.3257 7.8289 3.3241
Yb 0.5921 4.6009 2.6603
Mg -0.5260 3.4449 -0.4662
! Energy relative to the elements, uncorrected in meV per atom: -1366.4
! N(E_F) in states/eV per cell: 0.49
! Symmetry: P2_1/m (11)



Record 2
! La3TlRu (PBE, optimized geometry); values from VASP
&SYSTEM
  ibrav = 0, nat = 20, ntyp = 3
/
ATOMIC_SPECIES
Ru 101.07 Ru.upf
Tl 204.38 Tl.upf
La 138.91 La.upf
CELL_PARAMETERS angstrom
7.7615 0.0000 0.0000
0.0000 9.2945 0.0000
0.0000 0.0000 8.7853
ATOMIC_POSITIONS angstrom
Ru 0.8088 2.3236 8.6587
Tl 3.8807 0.0000 0.0000
Ru 3.0720 6.9709 4.2661
La 1.2870 6.9709 2.2225
La 2.5938 2.3236 6.6152
La 5.1677 6.9709 2.1702
Ru 6.9527 6.9709 0.1266
Ru 4.6895 2.3236 4.5193
La 6.8347 0.6351 1.3244
La 4.8075 5.2824 5.7171
La 6.8347 4.0122 1.3244
La 0.9267 8.6594 7.4609
La 4.8075 8.6594 5.7171
La 6.4745 2.3236 6.5628
La 2.9540 0.6351 3.0682
Tl 0.0000 4.6473 4.3927
Tl 0.0000 0.0000 4.3927
La 0.9267 5.2824 7.4609
Tl 3.8807 4.6473 0.0000
La 2.9540 4.0122 3.0682
! ΔH_f (0 K) in eV per atom: -0.156
! N(E_F) in states/eV per cell: 12.46
! Symmetry: Pnma (62)



Record 3
! AcAsIrO (PBE, optimized geometry); values from VASP
&SYSTEM
  ibrav = 0, nat = 8, ntyp = 4
/
ATOMIC_SPECIES
As 74.92 As.upf
O 16.00 O.upf
Ir 192.22 Ir.upf
Ac 227.00 Ac.upf
CELL_PARAMETERS angstrom
4.1792 0.0000 0.0000
0.0000 4.1792 0.0000
0.0000 0.0000 8.9906
ATOMIC_POSITIONS angstrom
As 2.0896 0.0000 1.3710
O 2.0896 2.0896 4.4953
As 0.0000 2.0896 7.6196
Ir 0.0000 0.0000 0.0000
Ir 2.0896 2.0896 0.0000
O 0.0000 0.0000 4.4953
Ac 2.0896 0.0000 5.8007
Ac 0.0000 2.0896 3.1899
! Energy relative to the elements, uncorrected in meV per atom: -1831.5
! N(E_F) in states/eV per cell: 2.53
! Symmetry: P4/nmm (129)



Record 4
! NaNpPa4N8 (PBE, optimized geometry); values from VASP
&SYSTEM
  ibrav = 0, nat = 14, ntyp = 4
/
ATOMIC_SPECIES
N 14.01 N.upf
Pa 231.04 Pa.upf
Np 237.00 Np.upf
Na 22.99 Na.upf
CELL_PARAMETERS angstrom
7.1165 0.0000 0.0000
3.5583 6.1631 0.0000
3.5583 2.0544 5.1986
ATOMIC_POSITIONS angstrom
N 5.2400 5.1921 1.4608
Pa 10.6748 4.1116 2.6195
N 7.1165 6.2348 3.6049
N 8.9930 5.1921 1.4608
Np 7.1165 4.1087 4.4203
N 5.2753 3.0457 3.6049
N 3.5583 2.0544 1.4832
N 7.1165 1.9419 1.4608
Pa 12.4514 7.1888 2.6195
N 10.6748 6.1631 3.8480
Pa 8.8982 7.1888 2.6195
Na 3.5583 2.0544 5.1787
N 8.9578 3.0457 3.6049
Pa 7.1165 4.1087 1.0036
! Energy relative to the elements, uncorrected in meV per atom: -1304.2
! N(E_F) in states/eV per cell: 7.49
! Symmetry: R3m (160)



Record 5
! CsSbPHPt (PBE, optimized geometry); values from VASP
&SYSTEM
  ibrav = 0, nat = 5, ntyp = 5
/
ATOMIC_SPECIES
P 30.97 P.upf
Cs 132.91 Cs.upf
Sb 121.76 Sb.upf
H 1.01 H.upf
Pt 195.08 Pt.upf
CELL_PARAMETERS angstrom
4.1138 0.0040 -0.0021
1.9707 5.2924 0.0039
0.0746 2.7558 6.4735
ATOMIC_POSITIONS angstrom
P 3.8603 2.7583 4.0731
Cs 1.8065 5.0754 6.3098
Sb 3.7591 4.6158 2.3211
H 2.4540 2.8573 4.3952
Pt 5.8080 6.1210 2.7959
! N(E_F) in states/eV per cell: 1.05
! Symmetry: P1 (1)



Record 6
! BaScOs2 (PBE, optimized geometry); values from VASP
&SYSTEM
  ibrav = 0, nat = 4, ntyp = 3
/
ATOMIC_SPECIES
Ba 137.33 Ba.upf
Sc 44.96 Sc.upf
Os 190.23 Os.upf
CELL_PARAMETERS angstrom
5.4695 0.0002 0.0008
-2.5715 4.9937 -0.0097
0.3265 0.9130 2.8690
ATOMIC_POSITIONS angstrom
Ba 1.4490 2.4970 -0.0045
Sc -1.1225 2.9533 1.4296
Os 2.8980 0.4566 1.4349
Os 0.0000 0.0000 0.0000
! ΔH_f (0 K) in eV per atom: 0.956
! N(E_F) in states/eV per cell: 3.02
! Symmetry: C2/m (12)



Record 7
! Dy2CoPt (PBE, optimized geometry); values from VASP
&SYSTEM
  ibrav = 0, nat = 4, ntyp = 3
/
ATOMIC_SPECIES
Pt 195.08 Pt.upf
Dy 162.50 Dy.upf
Co 58.93 Co.upf
CELL_PARAMETERS angstrom
-2.3417 -2.0402 1.4006
1.7862 -2.7280 -0.9875
3.4509 0.1120 5.9329
ATOMIC_POSITIONS angstrom
Pt 1.4477 -2.3281 3.1730
Dy 0.8312 0.0270 1.4291
Co -0.2778 -2.3841 0.2066
Dy 2.6196 0.0850 4.5038
! ΔH_f (0 K) in eV per atom: -0.692
! N(E_F) in states/eV per cell: 1.23
! Symmetry: P4/mmm (123)



Record 8
! ScSbO2F (PBE, optimized geometry); values from VASP
&SYSTEM
  ibrav = 0, nat = 5, ntyp = 4
/
ATOMIC_SPECIES
O 16.00 O.upf
Sb 121.76 Sb.upf
Sc 44.96 Sc.upf
F 19.00 F.upf
CELL_PARAMETERS angstrom
4.2885 0.0000 0.0000
0.0000 4.2885 0.0000
0.0000 0.0000 4.4070
ATOMIC_POSITIONS angstrom
O 0.0000 2.1442 0.0000
Sb 0.0000 0.0000 0.0000
Sc 2.1442 2.1442 2.2035
O 2.1442 0.0000 0.0000
F 0.0000 0.0000 2.2035
! Energy relative to the elements, uncorrected in meV per atom: -1218.8
! N(E_F) in states/eV per cell: 3.93
! Symmetry: P4/mmm (123)



Record 9
! CePa2Sn (PBE, optimized geometry); values from VASP
&SYSTEM
  ibrav = 0, nat = 4, ntyp = 3
/
ATOMIC_SPECIES
Pa 231.04 Pa.upf
Ce 140.12 Ce.upf
Sn 118.71 Sn.upf
CELL_PARAMETERS angstrom
4.8400 0.0000 0.0000
0.0000 4.5817 0.0000
0.0000 0.0000 4.5817
ATOMIC_POSITIONS angstrom
Pa 0.0000 0.0000 2.2909
Pa 0.0000 2.2909 0.0000
Ce 2.4200 2.2909 2.2909
Sn 2.4200 0.0000 0.0000
! ΔH_f (0 K) in eV per atom: -0.206
! N(E_F) in states/eV per cell: 10.97
! Symmetry: P4/mmm (123)



Record 10
! ScRe2Sb (PBE, optimized geometry); values from VASP
&SYSTEM
  ibrav = 0, nat = 4, ntyp = 3
/
ATOMIC_SPECIES
Re 186.21 Re.upf
Sc 44.96 Sc.upf
Sb 121.76 Sb.upf
CELL_PARAMETERS angstrom
5.3620 0.0829 0.0000
2.4415 4.7747 0.0000
-3.9018 -2.4288 2.7633
ATOMIC_POSITIONS angstrom
Re 0.0000 0.0000 0.0000
Sc 2.6810 0.0414 1.3816
Sb 1.2207 2.3873 1.3816
Re 3.9018 2.4288 0.0000
! Energy relative to the elements, uncorrected in meV per atom: 272.3
! N(E_F) in states/eV per cell: 4.05
! Symmetry: I4/mmm (139)



Record 11
! YMnZn4 (PBE, optimized geometry); values from VASP
&SYSTEM
  ibrav = 0, nat = 6, ntyp = 3
/
ATOMIC_SPECIES
Zn 65.41 Zn.upf
Mn 54.94 Mn.upf
Y 88.91 Y.upf
CELL_PARAMETERS angstrom
-1.8470 -4.1317 2.5533
-5.1143 -0.9128 0.1109
-1.9807 -4.0136 -2.6400
ATOMIC_POSITIONS angstrom
Zn -5.8973 -3.8594 0.0640
Zn -3.3634 -3.4071 0.0091
Zn -4.3448 -5.3957 -1.2989
Zn -4.2785 -5.4542 1.2741
Mn -6.7065 -6.7937 0.0181
Y 0.0000 0.0000 0.0000
! ΔH_f (0 K) in eV per atom: -0.134
! N(E_F) in states/eV per cell: 4.98
! Symmetry: F-43m (216)



Record 12
! TlSiAu (PBE, optimized geometry); values from VASP
&SYSTEM
  ibrav = 0, nat = 6, ntyp = 3
/
ATOMIC_SPECIES
Au 196.97 Au.upf
Si 28.09 Si.upf
Tl 204.38 Tl.upf
CELL_PARAMETERS angstrom
6.2428 -0.0062 -0.0156
1.5682 4.1330 0.0067
2.4759 -3.3015 5.7008
ATOMIC_POSITIONS angstrom
Au 4.4141 -0.3194 3.9257
Si 2.6360 -2.0075 3.9595
Si 6.8458 -1.2451 4.8084
Tl 1.8854 0.6391 2.1634
Au 6.6358 1.1998 4.8491
Tl 6.6869 3.5433 0.9105
! Energy relative to the elements, uncorrected in meV per atom: 52.9
! N(E_F) in states/eV per cell: 2.02
! Symmetry: P-1 (2)



Record 13
! GdLu2Pu (PBE, optimized geometry); values from VASP
&SYSTEM
  ibrav = 0, nat = 4, ntyp = 3
/
ATOMIC_SPECIES
Lu 174.97 Lu.upf
Gd 157.25 Gd.upf
Pu 244.00 Pu.upf
CELL_PARAMETERS angstrom
-2.0894 4.3173 0.2612
-2.6787 -1.0537 -4.0126
-3.5492 -1.8911 2.8659
ATOMIC_POSITIONS angstrom
Lu -1.3393 -0.5268 -2.0063
Gd -1.0447 2.1587 0.1306
Lu -1.7746 -0.9455 1.4330
Pu -4.1587 0.6863 -0.4427
! ΔH_f (0 K) in eV per atom: 0.129
! N(E_F) in states/eV per cell: 15.91
! Symmetry: P4/mmm (123)



Record 14
! Hf5CN2 (PBE, optimized geometry); values from VASP
&SYSTEM
  ibrav = 0, nat = 16, ntyp = 3
/
ATOMIC_SPECIES
Hf 178.49 Hf.upf
N 14.01 N.upf
C 12.01 C.upf
CELL_PARAMETERS angstrom
4.5337 0.0000 0.0000
-2.2669 5.0639 0.0000
0.0000 0.0000 10.8861
ATOMIC_POSITIONS angstrom
Hf 2.2669 4.5833 9.5759
N 0.0000 1.6125 6.0350
Hf 2.2669 2.5056 2.7215
C 0.0000 2.2582 2.7215
Hf 2.2669 4.5833 6.7533
N 2.2669 3.4514 4.8511
Hf 2.2669 1.6362 6.1562
Hf 0.0000 2.5583 8.1646
Hf 0.0000 3.4276 0.7131
C 2.2669 2.8057 8.1646
Hf 0.0000 0.4806 4.1328
Hf 0.0000 3.4276 4.7299
N 0.0000 1.6125 10.2942
Hf 2.2669 1.6362 10.1730
N 2.2669 3.4514 0.5920
Hf 0.0000 0.4806 1.3103
! Energy relative to the elements, uncorrected in meV per atom: -939.1
! N(E_F) in states/eV per cell: 4.66
! Symmetry: Cmcm (63)



Record 15
! Ba2HgSe2I2 (PBE, optimized geometry); values from VASP
&SYSTEM
  ibrav = 0, nat = 7, ntyp = 4
/
ATOMIC_SPECIES
Ba 137.33 Ba.upf
Hg 200.59 Hg.upf
I 126.90 I.upf
Se 78.96 Se.upf
CELL_PARAMETERS angstrom
5.3755 0.0000 0.0000
0.0000 5.3755 0.0000
-2.6878 -2.6878 9.1609
ATOMIC_POSITIONS angstrom
Ba 2.6878 2.6878 2.1433
Hg 0.0000 0.0000 0.0000
I 2.6878 2.6878 5.6964
Se 2.6878 0.0000 0.0000
I 0.0000 0.0000 3.4645
Se 0.0000 2.6878 0.0000
Ba 0.0000 0.0000 7.0177
! Energy relative to the elements, uncorrected in meV per atom: -1349.7
! N(E_F) in states/eV per cell: 1.84
! Symmetry: I4/mmm (139)



Record 16
! Ba2CaAl (PBE, optimized geometry); values from VASP
&SYSTEM
  ibrav = 0, nat = 4, ntyp = 3
/
ATOMIC_SPECIES
Ba 137.33 Ba.upf
Al 26.98 Al.upf
Ca 40.08 Ca.upf
CELL_PARAMETERS angstrom
4.0810 0.0000 0.0000
0.0000 4.0810 0.0000
0.0000 0.0000 10.4271
ATOMIC_POSITIONS angstrom
Ba 0.0000 0.0000 9.6447
Ba 2.0405 2.0405 2.9378
Al 2.0405 2.0405 7.4906
Ca 0.0000 0.0000 5.9947
! ΔH_f (0 K) in eV per atom: -0.031
! N(E_F) in states/eV per cell: 5.04
! Symmetry: P4mm (99)



Record 17
! La2Sc2In (PBE, optimized geometry); values from VASP
&SYSTEM
  ibrav = 0, nat = 10, ntyp = 3
/
ATOMIC_SPECIES
La 138.91 La.upf
Sc 44.96 Sc.upf
In 114.82 In.upf
CELL_PARAMETERS angstrom
-1.6787 7.5933 -0.7833
-6.0542 -0.8359 4.8722
2.8985 1.0306 3.7786
ATOMIC_POSITIONS angstrom
La -2.7915 1.1579 4.9671
Sc -5.3384 5.9567 2.4704
In -3.8665 3.3787 2.0444
Sc -5.7756 1.9838 3.8894
La -0.0768 2.9890 2.3852
La -4.7576 4.7990 5.4822
La -2.0429 6.6301 2.9003
Sc -1.9574 4.7736 0.1995
In 0.0000 0.0000 0.0000
Sc -2.3945 0.8007 1.6184
! ΔH_f (0 K) in eV per atom: -0.120
! N(E_F) in states/eV per cell: 10.95
! Symmetry: P4/mbm (127)



Record 18
! Rb2HoTlBr6 (PBE, optimized geometry); values from VASP
&SYSTEM
  ibrav = 0, nat = 20, ntyp = 4
/
ATOMIC_SPECIES
Br 79.90 Br.upf
Ho 164.93 Ho.upf
Rb 85.47 Rb.upf
Tl 204.38 Tl.upf
CELL_PARAMETERS angstrom
8.0408 0.0000 0.0009
0.0000 8.5450 0.0000
0.0705 0.0000 11.6006
ATOMIC_POSITIONS angstrom
Br 1.3571 1.9138 0.7148
Ho 0.0000 4.2725 0.0000
Br 1.7754 1.5112 5.1876
Rb 4.2973 4.9305 8.7106
Br 2.2802 5.7837 0.6131
Br 6.7541 6.6312 10.8867
Rb 7.8696 0.6580 8.6916
Br 5.8310 2.7614 10.9884
Br 4.9436 0.3167 3.1636
Ho 4.0556 0.0000 5.8007
Br 7.1528 4.5892 2.6380
Br 6.3359 7.0339 6.4139
Br 5.4128 2.3587 6.5155
Rb 0.2417 7.8870 2.9099
Rb 3.8139 3.6145 2.8909
Br 3.1676 8.2283 8.4378
Tl 4.0204 0.0000 0.0004
Br 2.6985 6.1863 5.0860
Br 0.9585 3.9558 8.9635
Tl 0.0352 4.2725 5.8003
! Energy relative to the elements, uncorrected in meV per atom: -1660.0
! N(E_F) in states/eV per cell: 0.00
! Symmetry: P2_1/c (14)



Record 19
! Rb3YF7 (PBE, optimized geometry); values from VASP
&SYSTEM
  ibrav = 0, nat = 11, ntyp = 3
/
ATOMIC_SPECIES
F 19.00 F.upf
Rb 85.47 Rb.upf
Y 88.91 Y.upf
CELL_PARAMETERS angstrom
2.0811 5.9688 -1.9491
-0.8687 2.1828 6.1836
5.6922 2.3480 3.1576
ATOMIC_POSITIONS angstrom
F 3.9322 2.4219 4.1640
Rb 6.0089 6.2167 5.0735
F 2.1986 4.5708 -0.0414
F 4.7986 3.5339 1.7754
F 5.9486 8.6900 6.2030
Rb 2.6081 4.1746 5.8899
Y 1.3995 7.8471 4.1607
F 0.6024 2.5222 4.3593
F 3.2487 6.5388 4.2223
F 1.1297 1.3408 1.0340
Rb 4.2225 6.2466 1.4390
! Energy relative to the elements, uncorrected in meV per atom: -3011.7
! N(E_F) in states/eV per cell: 9.72
! Symmetry: Cm (8)



Record 20
! La4CoBi (PBE, optimized geometry); values from VASP
&SYSTEM
  ibrav = 0, nat = 12, ntyp = 3
/
ATOMIC_SPECIES
La 138.91 La.upf
Co 58.93 Co.upf
Bi 208.98 Bi.upf
CELL_PARAMETERS angstrom
6.0472 0.0655 -1.8886
-0.9414 6.5469 -2.7873
0.1851 0.0456 9.2859
ATOMIC_POSITIONS angstrom
La 4.7610 2.0636 3.2392
La 0.5300 4.5943 1.3708
La 3.3272 2.4378 0.0050
Co 3.7330 3.1459 6.1283
La 1.9638 4.2201 4.6049
Bi 4.1413 5.3568 1.9422
La 2.8541 5.7279 -1.3957
La -0.7101 4.9385 -2.1026
Bi 1.1497 1.3011 2.6678
La 2.4369 0.9301 6.0057
Co 1.5580 3.5121 -1.5183
La -0.2313 1.6083 -0.6847
! ΔH_f (0 K) in eV per atom: -0.389
! N(E_F) in states/eV per cell: 12.99
! Symmetry: C2/m (12)



no.,E_tot (eV per atom)
1,-4.093
2,-5.440
3,-7.476
4,-9.793
5,-4.215
6,-6.723
7,-6.280
8,-5.667
9,-7.438
10,-8.565
11,-3.589
12,-3.636
13,-9.235
14,-10.394
15,-3.381
16,-2.429
17,-5.171
18,-3.552
19,-5.054
20,-5.506